[1]
La4Te2Br3: relaxed, PBE-GGA.

Summary:
- total moment (μB per cell) = 0.000
- calculated total energy (eV per atom) = -5.027
- calculated density (kg/m³) = 5578

Unit cell a=7.7885 b=4.4970 c=17.8575 alpha=90.00 beta=90.07 gamma=90.00
Last column: nearest neighbours and their distance in Å.
Space group C2/m (No. 12)
Unique sites:
La: 0.0010 0.0000 0.3005 x4  3 Br 3.13, 3 Te 3.15
La: 0.1663 0.5000 0.9004 x4  3 Br 3.15, 3 Te 3.16
Te: 0.1674 0.5000 0.2005 x4  6 La 3.15-3.16
Br: 0.0000 0.0000 0.0000 x2  6 La 3.15
Br: 0.1655 0.5000 0.6014 x4  3 La 3.13



[2]
LaTeBr2: relaxed, PBE-GGA.

Summary:
- total moment (μB per cell) = 0.000
- energy above the most stable polymorph in this dataset (eV/f.u.) = 0.98
- calculated density (kg/m³) = 5642

Unit cell a=3.6696 b=3.6696 c=9.3186 alpha=90.00 beta=90.00 gamma=90.00
Last column: nearest neighbours and their distance in Å.
Space group P4/mmm (No. 123)
Unique sites:
La: 0.0000 0.0000 0.0000 x1  8 Br 3.10
Te: 0.0000 0.0000 0.5000 x1  4 Te 3.67, 8 Br 3.94
Br: 0.5000 0.5000 0.1823 x2  4 La 3.10, 1 Br 3.40



[3]
La4TlTeBr2: relaxed, PBE-GGA.

Summary:
- total moment (μB per cell) = 0.000
- calculated total energy (eV per atom) = -4.713
- calculated density (kg/m³) = 6785

Unit cell a=7.4811 b=4.6109 c=7.9579 alpha=90.00 beta=110.95 gamma=90.00
Last column: nearest neighbours and their distance in Å.
Space group P2/m (No. 10)
Unique sites:
La: 0.2417 0.0000 0.2440 x2  3 Br 3.14-3.17, 1 Tl 3.19, 2 Te 3.22
La: 0.2437 0.5000 0.7500 x2  3 Br 3.14-3.16, 2 Tl 3.20, 1 Te 3.22
Tl: 0.5000 0.0000 0.0000 x1  6 La 3.19-3.20
Te: 0.5000 0.5000 0.5000 x1  6 La 3.22
Br: 0.0000 0.0000 0.5000 x1  6 La 3.16-3.17
Br: 0.0000 0.5000 0.0000 x1  6 La 3.14



[4]
LaThBr: relaxed, PBE-GGA.

Summary:
- total moment (μB per cell) = 0.092
- calculated total energy (eV per atom) = -5.441
- calculated density (kg/m³) = 7104

Unit cell a=6.6093 b=3.8166 c=16.8695 alpha=90.00 beta=97.89 gamma=90.00
Last column: nearest neighbours and their distance in Å.
Space group C2/m (No. 12)
Unique sites:
La: 0.0891 0.0000 0.2571 x4  3 Br 3.04
Th: 0.1378 0.5000 0.9182 x4  9 Th 3.51-3.82, 3 La 3.66-3.67
Br: 0.2007 0.0000 0.6179 x4  3 La 3.04



[5]
LaThBr2: relaxed, PBE-GGA.

Summary:
- total moment (μB per cell) = 2.431
- calculated total energy (eV per atom) = -4.884
- calculated density (kg/m³) = 6997

Unit cell a=3.6855 b=3.6855 c=32.1211 alpha=90.00 beta=90.00 gamma=120.00
Last column: nearest neighbours and their distance in Å.
Space group R-3m (No. 166, hexagonal axes)
Unique sites:
La: 0.0000 0.0000 0.0000 x3  2 Br 3.13
Th: 0.0000 0.0000 0.5000 x3  6 Br 3.08
Br: 0.0000 0.0000 0.0974 x6  3 Th 3.08, 1 La 3.13



[6]
LaThBr5: relaxed, PBE-GGA.

Summary:
- total moment (μB per cell) = 0.336
- calculated total energy (eV per atom) = -4.631
- calculated density (kg/m³) = 5221

Unit cell a=8.7548 b=4.0016 c=14.0206 alpha=90.00 beta=93.80 gamma=90.00
Last column: nearest neighbours and their distance in Å.
Space group P2_1/m (No. 11)
Unique sites:
La: 0.0738 0.2500 0.1589 x2  7 Br 2.97-3.21
Th: 0.3923 0.7500 0.3554 x2  7 Br 2.98-3.09
Br: 0.1447 0.2500 0.3777 x2  2 Th 2.98, 1 La 3.09
Br: 0.1504 0.2500 0.7795 x2  2 La 2.97
Br: 0.1833 0.7500 0.0150 x2  3 La 3.04-3.21
Br: 0.3601 0.7500 0.5736 x2  3 Th 3.07-3.09
Br: 0.4285 0.2500 0.1992 x2  2 Th 3.00, 1 La 3.12